No. 1
The following is a PBE calculation of a geometry-optimized In2ReCl structure, from Alexandria.

Structure (extended XYZ):
```
4
Lattice="3.012 0.000 0.000 0.000 4.540 0.000 -0.008 0.000 5.757" Properties=species:S:1:pos:R:3 pbc="T T T"
In 0.000 0.000 1.410
In 3.004 0.000 4.346
Re 1.506 2.270 0.000
Cl 1.502 2.270 2.878
```

Results
Energy relative to the elements, uncorrected   0.621 eV/atom
Energy   -4.32 eV/atom
Energy above the most stable polymorph in this dataset   0.3495 eV per atom
Crystal system   monoclinic

No. 2
The following is a PBE calculation of a geometry-optimized Sm2Ho5Th2 structure, from Alexandria.

Structure (extended XYZ):
```
9
Lattice="11.211 -1.737 0.000 11.211 1.737 0.000 -1.265 0.000 7.957" Properties=species:S:1:pos:R:3 pbc="T T T"
Sm 3.737 0.000 1.204
Sm 17.421 0.000 6.753
Ho 0.000 0.000 0.000
Ho 1.119 0.000 5.799
Ho 6.323 0.000 3.621
Ho 14.835 0.000 4.336
Ho 20.039 0.000 2.158
Th 9.217 0.000 5.152
Th 11.941 0.000 2.805
```

Results
Energy   -4.97 eV/atom
Energy of formation from the pure elements   0.267 eV per atom
Energy above the most stable polymorph in this dataset   0.0254 eV per atom
Crystal system   monoclinic

No. 3
The following is a PBE calculation of a geometry-optimized PrTeH2 structure, from Alexandria.

Structure (extended XYZ):
```
8
Lattice="1.989 -6.036 0.000 1.989 6.036 0.000 0.000 0.000 6.254" Properties=species:S:1:pos:R:3 pbc="T T T"
Pr 1.989 3.730 4.690
Pr 1.989 -3.730 1.563
Te 1.989 0.302 4.690
Te 1.989 -0.302 1.563
H 1.989 2.853 0.499
H 1.989 2.853 2.627
H 1.989 -2.853 3.626
H 1.989 -2.853 5.754
```

Results
Energy   -4.30 eV/atom
Energy above the most stable polymorph in this dataset   0.0000 eV per atom
Crystal system   orthorhombic

No. 4
The following is a PBE calculation of a geometry-optimized HgTeAsBr structure, from Alexandria.

Structure (extended XYZ):
```
4
Lattice="2.927 -2.828 0.000 2.927 2.828 0.000 -1.961 0.000 7.938" Properties=species:S:1:pos:R:3 pbc="T T T"
Hg 0.000 0.000 0.000
Te 1.296 0.000 4.924
As -1.287 0.000 5.451
Br 3.788 0.000 1.589
```

Results
Energy relative to the elements, uncorrected   -0.117 eV/atom
Energy   -2.56 eV/atom
Crystal system   monoclinic